1.
## AlIn2 (PBE)

Data for AlIn2 after structural relaxation.

Results
Mass density (g/cm3): 5.83
VASP energy (eV per cell): -8.72
Crystal system: trigonal

Lattice parameters (Å, degrees): 5.2184 5.2184 3.1019 90.00 90.00 120.00
Space group P-3m1 (No. 164)
Asymmetric unit:
Al1 0.0000 0.0000 0.0000 x1
In1 0.3333 0.6667 0.2760 x2

2.
## Al3In (PBE)

Data for Al3In after structural relaxation.

Results
Mass density (g/cm3): 4.10
VASP energy (eV per cell): -26.58
Crystal system: orthorhombic

Lattice parameters (Å, degrees): 2.876 5.162 10.681 90.00 90.00 90.00
Space group Immm (No. 71)
Asymmetric unit:
Al1 0.000 0.000 0.000 x2
Al2 0.000 0.500 0.272 x4
In1 0.000 0.000 0.500 x2

3.
## Al3In (PBE)

Data for Al3In after structural relaxation.

Results
Mass density (g/cm3): 4.23
VASP energy (eV per cell): -13.56
Crystal system: tetragonal

Lattice parameters (Å, degrees): 3.030 3.030 8.365 90.00 90.00 90.00
Space group P4/mmm (No. 123)
Asymmetric unit:
Al1 0.000 0.000 0.000 x1
Al2 0.500 0.500 0.218 x2
In1 0.000 0.000 0.500 x1